Entry 1:
Crystalline Cs2AlAg at its relaxed geometry, computed with PBE.

a b c (Å): 6.4473 6.4473 6.4473
angles (deg): 60.00 60.00 60.00
Fractional coordinates of all 4 atoms:
Al (0.0000, 0.0000, 0.0000)
Cs (0.7500, 0.7500, 0.7500)
Cs (0.2500, 0.2500, 0.2500)
Ag (0.5000, 0.5000, 0.5000)

Crystal system: cubic
Symmetry: No. 225
Energy above the lowest structure with this stoichiometry: 268 meV/atom

=====

Entry 2:
Crystalline CsAl2AgF8 at its relaxed geometry, computed with PBE.

a b c (Å): 5.7068 5.7068 8.6964
angles (deg): 70.85 70.85 60.00
Fractional coordinates of all 12 atoms:
F (0.2850, 0.9856, 0.1737)
F (0.4443, 0.7150, 0.8263)
F (0.9856, 0.5557, 0.1737)
F (0.7150, 0.0144, 0.8263)
F (0.5557, 0.2850, 0.1737)
F (0.8156, 0.8156, 0.5531)
F (0.0144, 0.4443, 0.8263)
F (0.1844, 0.1844, 0.4469)
Ag (0.0000, 0.0000, 0.0000)
Al (0.7450, 0.7450, 0.7649)
Al (0.2550, 0.2550, 0.2351)
Cs (0.5000, 0.5000, 0.5000)

Crystal system: trigonal
Symmetry: No. 148
Formation energy from raw total energies: -2.97 eV/atom